Entry 1:
# Li3BiB2O6 (SCAN, PBEsol geometry)
# Energy above the most stable polymorph in this dataset, eV/atom: 0.0138
# Raw formation energy, eV per atom: -2.21
# Total magnetic moment, μB per formula unit: 0.00
data_Li3BiB2O6
_symmetry_space_group_name_H-M 'P 1'
_symmetry_Int_Tables_number 1
_symmetry_space_group_name_Hall 'P 1'
_cell_length_a 4.914
_cell_length_b 7.244
_cell_length_c 8.137
_cell_angle_alpha 68.29
_cell_angle_beta 85.21
_cell_angle_gamma 86.10
loop_
_atom_site_label
_atom_site_type_symbol
_atom_site_fract_x
_atom_site_fract_y
_atom_site_fract_z
O1 O 0.676 0.998 0.699
O2 O 0.173 0.845 0.981
O3 O 0.076 0.188 0.578
O4 O 0.924 0.812 0.422
O5 O 0.392 0.312 0.931
O6 O 0.793 0.468 0.767
O7 O 0.324 0.002 0.301
O8 O 0.207 0.532 0.233
O9 O 0.695 0.239 0.400
O10 O 0.827 0.155 0.019
O11 O 0.608 0.688 0.069
O12 O 0.305 0.761 0.600
B1 B 0.813 0.137 0.564
B2 B 0.320 0.692 0.088
B3 B 0.187 0.863 0.436
B4 B 0.680 0.308 0.912
Bi1 Bi 0.783 0.563 0.321
Bi2 Bi 0.217 0.437 0.679
Li1 Li 0.306 0.241 0.355
Li2 Li 0.804 0.927 0.931
Li3 Li 0.708 0.050 0.269
Li4 Li 0.292 0.950 0.731
Li5 Li 0.196 0.073 0.069
Li6 Li 0.694 0.759 0.645

---

Entry 2:
# LiBiB2O5 (SCAN, PBEsol geometry)
# Energy above the most stable polymorph in this dataset, eV/atom: 0.0305
# Raw formation energy, eV per atom: -2.14
# Total magnetic moment, μB per formula unit: 0.00
data_LiBiB2O5
_symmetry_space_group_name_H-M 'P 1'
_symmetry_Int_Tables_number 1
_symmetry_space_group_name_Hall 'P 1'
_cell_length_a 6.892
_cell_length_b 6.859
_cell_length_c 10.891
_cell_angle_alpha 90.00
_cell_angle_beta 90.00
_cell_angle_gamma 108.98
loop_
_atom_site_label
_atom_site_type_symbol
_atom_site_fract_x
_atom_site_fract_y
_atom_site_fract_z
B1 B 0.232 0.537 0.075
B2 B 0.768 0.463 0.925
B3 B 0.815 0.920 0.406
B4 B 0.315 0.920 0.094
B5 B 0.732 0.537 0.425
B6 B 0.268 0.463 0.575
B7 B 0.185 0.080 0.594
B8 B 0.685 0.080 0.906
Bi1 Bi 0.224 0.754 0.825
Bi2 Bi 0.276 0.246 0.325
Bi3 Bi 0.724 0.754 0.675
Bi4 Bi 0.776 0.246 0.175
O1 O 0.932 0.088 0.341
O2 O 0.684 0.937 0.498
O3 O 0.852 0.632 0.850
O4 O 0.675 0.272 0.872
O5 O 0.316 0.063 0.502
O6 O 0.721 0.499 0.549
O7 O 0.325 0.728 0.128
O8 O 0.175 0.272 0.628
O9 O 0.648 0.368 0.350
O10 O 0.184 0.937 0.002
O11 O 0.148 0.368 0.150
O12 O 0.068 0.912 0.659
O13 O 0.816 0.063 0.998
O14 O 0.825 0.728 0.372
O15 O 0.779 0.501 0.049
O16 O 0.568 0.912 0.841
O17 O 0.279 0.501 0.451
O18 O 0.432 0.088 0.159
O19 O 0.221 0.499 0.951
O20 O 0.352 0.632 0.650
Li1 Li 0.375 0.802 0.490
Li2 Li 0.625 0.198 0.510
Li3 Li 0.875 0.802 0.010
Li4 Li 0.125 0.198 0.990

---

Entry 3:
# Li3SiBiBO7 (SCAN, PBEsol geometry)
# Raw formation energy, eV per atom: -2.17
# Total magnetic moment, μB per formula unit: 0.00
data_Li3SiBiBO7
_symmetry_space_group_name_H-M 'P 1'
_symmetry_Int_Tables_number 1
_symmetry_space_group_name_Hall 'P 1'
_cell_length_a 5.070
_cell_length_b 6.714
_cell_length_c 8.761
_cell_angle_alpha 90.00
_cell_angle_beta 96.57
_cell_angle_gamma 90.00
loop_
_atom_site_label
_atom_site_type_symbol
_atom_site_fract_x
_atom_site_fract_y
_atom_site_fract_z
O1 O 0.425 0.750 0.580
O2 O 0.878 0.932 0.709
O3 O 0.878 0.568 0.709
O4 O 0.543 0.750 0.165
O5 O 0.834 0.750 0.424
O6 O 0.166 0.250 0.576
O7 O 0.457 0.250 0.835
O8 O 0.578 0.250 0.108
O9 O 0.422 0.750 0.892
O10 O 0.122 0.068 0.291
O11 O 0.088 0.750 0.070
O12 O 0.575 0.250 0.420
O13 O 0.122 0.432 0.291
O14 O 0.912 0.250 0.930
Li1 Li 0.283 0.961 0.753
Li2 Li 0.283 0.539 0.753
Li3 Li 0.717 0.461 0.247
Li4 Li 0.193 0.250 0.090
Li5 Li 0.807 0.750 0.910
Li6 Li 0.717 0.039 0.247
Si1 Si 0.752 0.750 0.597
Si2 Si 0.248 0.250 0.403
Bi1 Bi 0.782 0.250 0.674
Bi2 Bi 0.218 0.750 0.326
B1 B 0.652 0.250 0.964
B2 B 0.348 0.750 0.036

---

Entry 4:
# Mg2BiB (SCAN, PBEsol geometry)
# DFT formation energy, eV per atom: 0.656
# Total magnetic moment, μB per formula unit: 0.00
data_Mg2BiB
_symmetry_space_group_name_H-M 'P 1'
_symmetry_Int_Tables_number 1
_symmetry_space_group_name_Hall 'P 1'
_cell_length_a 4.820
_cell_length_b 4.820
_cell_length_c 4.820
_cell_angle_alpha 60.00
_cell_angle_beta 60.00
_cell_angle_gamma 60.00
loop_
_atom_site_label
_atom_site_type_symbol
_atom_site_fract_x
_atom_site_fract_y
_atom_site_fract_z
Bi1 Bi 0.500 0.500 0.500
B1 B 0.000 0.000 0.000
Mg1 Mg 0.250 0.250 0.250
Mg2 Mg 0.750 0.750 0.750